Material: MnSF3
Method: DFT, PBE with a Hubbard U
State: relaxed

The structure in extended XYZ format:
```
5
Lattice="-0.209 -0.718 4.104 -3.243 -2.552 -0.611 2.616 -3.221 -0.430" Properties=species:S:1:pos:R:3 pbc="T T T"
F -0.104 -0.359 2.052
F 1.308 -1.610 -0.215
S -0.418 -3.246 1.531
Mn 0.000 0.000 0.000
F -1.621 -1.276 -0.306
```

Computed properties:
* energy relative to the lowest polymorph listed for this composition: 0.00 eV per formula unit
* N(E_F): 3.84 states/eV/cell
* total DFT energy (no corrections): -4.80 eV per atom
* space-group type: Pm-3m, No. 221